Density functional theory data (PBE-GGA) for SrLaTlAg after structural relaxation.

abc: 3.8984 3.8984 8.1721
angles: 90.00 90.00 90.00
Last column: nearest neighbours and their distance in Å.
Positions (direct):
Sr: 0.0000 0.0000 0.8461  4 Ag 3.44, 4 Tl 3.55
La: 0.0000 0.0000 0.3691  4 Ag 3.31, 4 Tl 3.43
Tl: 0.5000 0.5000 0.1194  4 La 3.43, 4 Sr 3.55
Ag: 0.5000 0.5000 0.5934  4 La 3.31, 4 Sr 3.44

## Properties
- Excess energy over the best structure of this formula in the dataset: 0 meV per atom
- Calculated total energy: -3.301 eV per atom
- ΔE_f: -344 meV per atom

Density functional theory data (PBE-GGA) for Ca2PtCF after structural relaxation.

abc: 5.0947 3.8363 5.0947
angles: 90.00 90.00 90.00
Last column: nearest neighbours and their distance in Å.
Positions (direct):
Ca: 0.0000 0.0000 0.5000  2 C 2.55
Ca: 0.5000 0.0000 0.0000  2 C 2.55
C: 0.0000 0.0000 0.0000  2 Pt 1.92
Pt: 0.0000 0.5000 0.0000  2 C 1.92
F: 0.5000 0.5000 0.5000  8 Ca 3.19

## Properties
- Calculated total energy: -5.345 eV per atom
- Uncorrected formation energy: -1118 meV/atom